Record 1
Crystalline H6PbCBr3N at its relaxed geometry. Source: the Alexandria database, functional PBEsol.

The structure in extended XYZ format:
```
48
Lattice="7.823 0.000 0.000 0.000 11.872 0.000 0.000 0.000 8.648" Properties=species:S:1:pos:R:3 pbc="T T T"
H 0.035 2.124 1.282
H 0.035 3.812 1.282
H 0.151 8.003 1.132
H 0.151 9.805 1.132
H 1.312 2.968 8.062
H 1.352 8.904 7.878
H 2.560 2.968 3.554
H 2.600 8.904 3.739
H 3.761 2.067 5.456
H 3.761 3.869 5.456
H 3.876 8.060 5.606
H 3.876 9.748 5.606
H 3.947 2.124 3.041
H 3.947 3.812 3.041
H 4.062 8.003 3.192
H 4.062 9.805 3.192
H 5.223 2.968 4.909
H 5.263 8.904 5.093
H 6.471 2.968 0.770
H 6.511 8.904 0.585
H 7.672 2.067 7.515
H 7.672 3.869 7.515
H 7.788 8.060 7.365
H 7.788 9.748 7.365
Pb 0.000 0.000 4.324
Pb 0.000 5.936 4.324
Pb 3.912 0.000 0.000
Pb 3.912 5.936 0.000
C 0.212 2.968 8.030
C 3.699 8.904 3.706
C 4.124 2.968 4.941
C 7.611 8.904 0.617
Br 0.307 2.968 4.415
Br 1.528 0.325 1.769
Br 1.528 5.611 1.769
Br 2.384 6.261 6.093
Br 2.384 11.547 6.093
Br 3.605 8.904 0.091
Br 4.218 2.968 8.556
Br 5.439 0.325 2.554
Br 5.439 5.611 2.554
Br 6.295 6.261 6.878
Br 6.295 11.547 6.878
Br 7.516 8.904 4.233
N 0.307 8.904 7.879
N 3.605 2.968 3.555
N 4.219 8.904 5.093
N 7.516 2.968 0.769
```

Calculated values
The value obtained for the size of the total moment is 0.00 μB per formula unit. The crystal system is orthorhombic. For the polymorph energy (0 for the lowest one), the calculation gives 0.0000 eV/atom.



Record 2
Crystalline RbBa2AsCl at its relaxed geometry. Source: the Alexandria database, functional PBEsol.

The structure in extended XYZ format:
```
5
Lattice="6.244 0.000 0.000 0.000 6.244 0.000 0.000 0.000 6.688" Properties=species:S:1:pos:R:3 pbc="T T T"
Rb 0.000 0.000 0.000
Ba 0.000 3.122 3.344
Ba 3.122 0.000 3.344
As 0.000 0.000 3.344
Cl 3.122 3.122 0.000
```

Calculated values
The value obtained for the size of the total moment is 0.00 μB per formula unit. The crystal system is tetragonal. The raw formation energy is -0.807 eV per atom.



Record 3
Crystalline YZn2Os at its relaxed geometry. Source: the Alexandria database, functional PBEsol.

The structure in extended XYZ format:
```
4
Lattice="-1.714 2.276 4.279 1.714 -2.276 4.279 1.714 2.276 -4.279" Properties=species:S:1:pos:R:3 pbc="T T T"
Y 0.000 0.000 0.000
Zn 1.714 0.000 2.336
Zn 0.000 0.000 4.228
Os 0.000 2.276 1.965
```

Calculated values
The value obtained for the size of the total moment is 0.00 μB per formula unit. The crystal system is orthorhombic. For the polymorph energy (0 for the lowest one), the calculation gives 0.0911 eV/atom. The value obtained for the energy relative to the elements is 0.060 eV per atom.